Hg5Br: relaxed, PBEsol.

a = 3.648 Å, b = 3.648 Å, c = 11.011 Å
α = 90.00°, β = 90.00°, γ = 90.00°
Space group P4/mmm (No. 123)
Asymmetric unit:
1 Hg 0.000 0.000 0.000
2 Hg 0.000 0.000 0.325
3 Hg 0.500 0.500 0.170
4 Br 0.500 0.500 0.500

Output
Raw formation energy, eV/atom: -0.038
N(E_F), states/eV per cell: 1.5
Total moment, μB/cell: 0.0

=====

HgI3Br: relaxed, PBEsol.

a = 5.792 Å, b = 5.792 Å, c = 5.792 Å
α = 90.00°, β = 90.00°, γ = 90.00°
Space group Pm-3m (No. 221)
Asymmetric unit:
1 Hg 0.000 0.000 0.000
2 I 0.000 0.500 0.500
3 Br 0.500 0.500 0.500

Output
Raw formation energy, eV/atom: 0.318
N(E_F), states/eV per cell: 4.5
Total moment, μB/cell: 0.0